(1)
Material: Ac2LaMoN5
Method: DFT, PBE-GGA
State: relaxed

Calculated values
crystal system = tetragonal
raw formation energy = -1.07 eV per atom
space-group type = No. 140

a = 7.8282 Å, b = 7.8282 Å, c = 7.8282 Å
α = 125.79°, β = 125.79°, γ = 80.23°
Last column: nearest neighbours and their distance in Å.
Atoms (fractional coordinates):
Ac  0.1778  0.6778  0.8555  4 N 2.56-2.63
Ac  0.3222  0.1778  0.5000  4 N 2.56-2.63
Ac  0.6778  0.8222  0.5000  4 N 2.56-2.63
Ac  0.8222  0.3222  0.1445  4 N 2.56-2.63
La  0.2500  0.2500  0.0000  10 N 2.95-2.99
La  0.7500  0.7500  0.0000  10 N 2.95-2.99
Mo  0.2500  0.7500  0.5000  4 N 1.87
Mo  0.7500  0.2500  0.5000  4 N 1.87
N  0.0000  0.0000  0.0000  4 Ac 2.63
N  0.0077  0.8034  0.5000  1 Mo 1.87
N  0.1966  0.6966  0.2044  1 Mo 1.87
N  0.3034  0.5077  0.5000  1 Mo 1.87
N  0.4923  0.9923  0.7956  1 Mo 1.87
N  0.5000  0.5000  0.0000  4 Ac 2.63
N  0.5077  0.0077  0.2044  1 Mo 1.87
N  0.6966  0.4923  0.5000  1 Mo 1.87
N  0.8034  0.3034  0.7956  1 Mo 1.87
N  0.9923  0.1966  0.5000  1 Mo 1.87



(2)
Material: Nd2Sb3PdRh4
Method: DFT, PBE-GGA
State: relaxed

Calculated values
crystal system = tetragonal
raw formation energy = -0.75 eV per atom
space-group type = No. 115

a = 4.2894 Å, b = 4.2894 Å, c = 11.3385 Å
α = 90.00°, β = 90.00°, γ = 90.00°
Last column: nearest neighbours and their distance in Å.
Atoms (fractional coordinates):
Nd  0.0000  0.5000  0.2322  4 Rh 3.19, 6 Sb 3.40, 2 Pd 3.40
Nd  0.5000  0.0000  0.7678  4 Rh 3.19, 6 Sb 3.40, 2 Pd 3.40
Sb  0.0000  0.0000  0.0000  4 Rh 2.69
Sb  0.0000  0.5000  0.6329  5 Rh 2.53-2.62
Sb  0.5000  0.0000  0.3671  5 Rh 2.53-2.62
Pd  0.5000  0.5000  0.0000  4 Rh 2.69
Rh  0.0000  0.0000  0.5000  4 Sb 2.62
Rh  0.0000  0.5000  0.8563  3 Sb 2.53-2.69, 2 Pd 2.69
Rh  0.5000  0.0000  0.1437  3 Sb 2.53-2.69, 2 Pd 2.69
Rh  0.5000  0.5000  0.5000  4 Sb 2.62



(3)
Material: PtBr3
Method: DFT, PBE-GGA
State: relaxed

Calculated values
crystal system = trigonal
raw formation energy = 0.28 eV per atom
space-group type = No. 166

a = 12.3139 Å, b = 12.3139 Å, c = 12.3139 Å
α = 14.74°, β = 14.74°, γ = 14.74°
Last column: nearest neighbours and their distance in Å.
Atoms (fractional coordinates):
Pt  0.0000  0.0000  0.0000  2 Br 2.38
Br  0.0653  0.0653  0.0653  1 Pt 2.38
Br  0.5000  0.5000  0.5000  6 Br 3.16
Br  0.9347  0.9347  0.9347  1 Pt 2.38



(4)
Material: Er2TeH
Method: DFT, PBE-GGA
State: relaxed

Calculated values
crystal system = monoclinic
space-group type = No. 14
relative energy among the computed polymorphs = 0 meV per atom

a = 7.9703 Å, b = 6.2658 Å, c = 7.1979 Å
α = 90.00°, β = 101.80°, γ = 90.00°
Last column: nearest neighbours and their distance in Å.
Atoms (fractional coordinates):
Er  0.0575  0.1427  0.3122  3 H 2.18-2.20
Er  0.0575  0.3573  0.8122  3 H 2.18-2.20
Er  0.3070  0.6614  0.5294  1 H 2.20
Er  0.3070  0.8386  0.0294  1 H 2.20
Er  0.6930  0.1614  0.9706  1 H 2.20
Er  0.6930  0.3386  0.4706  1 H 2.20
Er  0.9425  0.6427  0.1878  3 H 2.18-2.20
Er  0.9425  0.8573  0.6878  3 H 2.18-2.20
Te  0.3489  0.1285  0.6761  5 Er 3.06-3.20, 2 H 3.18-3.21
Te  0.3489  0.3715  0.1761  5 Er 3.06-3.20, 2 H 3.18-3.21
Te  0.6511  0.6285  0.8239  5 Er 3.06-3.20, 2 H 3.18-3.21
Te  0.6511  0.8715  0.3239  5 Er 3.06-3.20, 2 H 3.18-3.21
H  0.0604  0.6720  0.9404  4 Er 2.18-2.20
H  0.0604  0.8280  0.4404  4 Er 2.18-2.20
H  0.9396  0.1720  0.5596  4 Er 2.18-2.20
H  0.9396  0.3280  0.0596  4 Er 2.18-2.20



(5)
Material: Cr3ReB
Method: DFT, PBE-GGA
State: relaxed

Calculated values
crystal system = cubic
E_form = 0.242 eV per atom
space-group type = No. 221
relative energy among the computed polymorphs = 0 meV per atom

a = 3.8799 Å, b = 3.8799 Å, c = 3.8799 Å
α = 90.00°, β = 90.00°, γ = 90.00°
Last column: nearest neighbours and their distance in Å.
Atoms (fractional coordinates):
Cr  0.0000  0.0000  0.5000  2 B 1.94
Cr  0.0000  0.5000  0.0000  2 B 1.94
Cr  0.5000  0.0000  0.0000  2 B 1.94
Re  0.5000  0.5000  0.5000  12 Cr 2.74
B  0.0000  0.0000  0.0000  6 Cr 1.94



(6)
Material: Pm4TmSc3
Method: DFT, PBE-GGA
State: relaxed

Calculated values
crystal system = monoclinic
E_form = 0.303 eV per atom
space-group type = No. 12
relative energy among the computed polymorphs = 256 meV per atom

a = 13.6781 Å, b = 13.6781 Å, c = 5.6473 Å
α = 93.68°, β = 93.68°, γ = 14.55°
Last column: nearest neighbours and their distance in Å.
Atoms (fractional coordinates):
Pm  0.0996  0.0996  0.0279  4 Sc 3.21-3.35, 2 Pm 3.47
Pm  0.1897  0.1897  0.5596  5 Sc 3.32-3.42, 3 Pm 3.47-3.72
Pm  0.8103  0.8103  0.4404  5 Sc 3.32-3.42, 3 Pm 3.47-3.72
Pm  0.9004  0.9004  0.9721  4 Sc 3.21-3.35, 2 Pm 3.47
Tm  0.0000  0.0000  0.5000  4 Sc 3.31, 2 Tm 3.47
Sc  0.2945  0.2945  0.9312  4 Sc 3.11-3.47, 7 Pm 3.32-3.42
Sc  0.5000  0.5000  0.0000  4 Pm 3.21, 4 Tm 3.31, 2 Sc 3.47
Sc  0.7055  0.7055  0.0688  4 Sc 3.11-3.47, 7 Pm 3.32-3.42



(7)
Material: TbMn2SiC
Method: DFT, PBE-GGA
State: relaxed

Calculated values
crystal system = orthorhombic
raw formation energy = -0.50 eV per atom
space-group type = No. 63

a = 5.6032 Å, b = 5.6032 Å, c = 7.0018 Å
α = 90.00°, β = 90.00°, γ = 141.11°
Last column: nearest neighbours and their distance in Å.
Atoms (fractional coordinates):
Tb  0.0443  0.9557  0.7500  4 C 2.60
Tb  0.9557  0.0443  0.2500  4 C 2.60
Mn  0.3315  0.6685  0.5620  1 C 1.83
Mn  0.3315  0.6685  0.9380  1 C 1.83
Mn  0.6685  0.3315  0.0620  1 C 1.83
Mn  0.6685  0.3315  0.4380  1 C 1.83
Si  0.2349  0.7651  0.2500  6 Mn 2.39-2.41
Si  0.7651  0.2349  0.7500  6 Mn 2.39-2.41
C  0.5000  0.5000  0.0000  2 Mn 1.83
C  0.5000  0.5000  0.5000  2 Mn 1.83



(8)
Material: KPmPb2I8
Method: DFT, PBE-GGA
State: relaxed

Calculated values
crystal system = triclinic
raw formation energy = -1.00 eV per atom
space-group type = No. 2

a = 7.4030 Å, b = 7.8507 Å, c = 9.7606 Å
α = 89.99°, β = 89.96°, γ = 89.16°
Last column: nearest neighbours and their distance in Å.
Atoms (fractional coordinates):
K  0.0000  0.0000  0.0000  6 I 3.46-3.49
Pm  0.0000  0.0000  0.5000  6 I 3.10-3.16
Pb  0.4999  0.5001  0.2482  6 I 3.17-3.41
Pb  0.5001  0.4999  0.7518  6 I 3.17-3.41
I  0.2402  0.3299  0.5001  1 Pm 3.16, 2 Pb 3.41
I  0.2477  0.8441  0.7252  1 Pm 3.10, 1 Pb 3.27, 1 K 3.46
I  0.2481  0.8446  0.2746  1 Pm 3.10, 1 Pb 3.27, 1 K 3.46
I  0.2670  0.3623  0.0001  2 Pb 3.17, 1 K 3.49
I  0.7330  0.6377  0.9999  2 Pb 3.17, 1 K 3.49
I  0.7519  0.1554  0.7254  1 Pm 3.10, 1 Pb 3.27, 1 K 3.46
I  0.7523  0.1559  0.2748  1 Pm 3.10, 1 Pb 3.27, 1 K 3.46
I  0.7598  0.6701  0.4999  1 Pm 3.16, 2 Pb 3.41



(9)
Material: CaGa4Cu2
Method: DFT, PBE-GGA
State: relaxed

Calculated values
crystal system = tetragonal
E_form = -0.169 eV per atom
space-group type = No. 139
relative energy among the computed polymorphs = 118 meV per atom

a = 5.4987 Å, b = 5.4987 Å, c = 5.4987 Å
α = 101.99°, β = 101.99°, γ = 125.76°
Last column: nearest neighbours and their distance in Å.
Atoms (fractional coordinates):
Ca  0.0000  0.0000  0.0000  12 Ga 2.98-3.15
Ga  0.3046  0.3046  0.6091  4 Ga 2.71-2.72, 4 Cu 2.80, 1 Ca 2.98
Ga  0.3046  0.6954  0.0000  4 Ga 2.71-2.72, 4 Cu 2.80, 1 Ca 2.98
Ga  0.6954  0.3046  0.0000  4 Ga 2.71-2.72, 4 Cu 2.80, 1 Ca 2.98
Ga  0.6954  0.6954  0.3909  4 Ga 2.71-2.72, 4 Cu 2.80, 1 Ca 2.98
Cu  0.2500  0.7500  0.5000  2 Cu 2.51, 8 Ga 2.80
Cu  0.7500  0.2500  0.5000  2 Cu 2.51, 8 Ga 2.80



(10)
Material: CsK2LiCd
Method: DFT, PBE-GGA
State: relaxed

Calculated values
crystal system = tetragonal
E_form = 0.070 eV per atom
space-group type = No. 123
relative energy among the computed polymorphs = 0 meV per atom

a = 6.9971 Å, b = 6.9971 Å, c = 5.7530 Å
α = 90.00°, β = 90.00°, γ = 90.00°
Last column: nearest neighbours and their distance in Å.
Atoms (fractional coordinates):
Cs  0.0000  0.0000  0.0000  8 K 4.53, 4 Li 4.95
K  0.0000  0.5000  0.5000  2 Cd 3.50
K  0.5000  0.0000  0.5000  2 Cd 3.50
Li  0.5000  0.5000  0.0000  2 Cd 2.88
Cd  0.5000  0.5000  0.5000  2 Li 2.88



(11)
Material: Nd2SnMoN5
Method: DFT, PBE-GGA
State: relaxed

Calculated values
crystal system = orthorhombic
raw formation energy = -0.60 eV per atom
space-group type = No. 36

a = 7.2184 Å, b = 7.2184 Å, c = 10.4078 Å
α = 90.00°, β = 90.00°, γ = 152.56°
Last column: nearest neighbours and their distance in Å.
Atoms (fractional coordinates):
Nd  0.1100  0.8900  0.5000  6 N 2.44-2.69
Nd  0.1447  0.8553  0.0989  5 N 2.46-2.60
Nd  0.8553  0.1447  0.5989  5 N 2.46-2.60
Nd  0.8900  0.1100  0.0000  6 N 2.44-2.69
Sn  0.2185  0.7815  0.8154  6 N 2.20-2.45
Sn  0.7815  0.2185  0.3154  6 N 2.20-2.45
Mo  0.4807  0.5193  0.2676  4 N 1.87-2.07
Mo  0.5193  0.4807  0.7676  4 N 1.87-2.07
N  0.0456  0.9544  0.8497  2 Mo 1.95
N  0.2819  0.7181  0.4613  2 Sn 2.29, 3 Nd 2.44-2.46
N  0.3186  0.6814  0.1861  2 Sn 2.24, 1 Mo 2.43
N  0.3756  0.6244  0.8131  1 Mo 2.07, 1 Sn 2.20
N  0.4913  0.5087  0.5923  1 Mo 1.87
N  0.5087  0.4913  0.0923  1 Mo 1.87
N  0.6244  0.3756  0.3131  1 Mo 2.07, 1 Sn 2.20
N  0.6814  0.3186  0.6861  2 Sn 2.24, 1 Mo 2.43
N  0.7181  0.2819  0.9613  2 Sn 2.29, 3 Nd 2.44-2.46
N  0.9544  0.0456  0.3497  2 Mo 1.95



(12)
Material: BTe2F
Method: DFT, PBE-GGA
State: relaxed

Calculated values
crystal system = cubic
raw formation energy = 0.39 eV per atom
space-group type = No. 225
relative energy among the computed polymorphs = 400 meV per atom

a = 4.5711 Å, b = 4.5711 Å, c = 4.5711 Å
α = 60.00°, β = 60.00°, γ = 60.00°
Last column: nearest neighbours and their distance in Å.
Atoms (fractional coordinates):
B  0.0000  0.0000  0.0000  8 Te 2.80
Te  0.2500  0.2500  0.2500  4 F 2.80, 4 B 2.80
Te  0.7500  0.7500  0.7500  4 B 2.80, 4 F 2.80
F  0.5000  0.5000  0.5000  8 Te 2.80